Record 1
Entry from Alexandria: an optimized crystal structure of Na2LiBiF8 (GGA-PBE).

Output
* energy relative to the elements, uncorrected: -2.3179 eV per atom
* space group: No. 2
* crystal system: triclinic

a = 5.1358 Å, b = 5.1027 Å, c = 7.0786 Å
α = 89.93°, β = 90.07°, γ = 95.99°
With the nearest neighbours (Å) after each atom.
Fractional positions:
F  0.7313  0.7374  0.0000  1 Li 1.82
F  0.8228  0.1945  0.7094  1 Bi 2.05
F  0.6902  0.7087  0.5000  1 Bi 2.06
Li  0.0000  0.0000  0.0000  2 F 1.82
Bi  0.0000  0.0000  0.5000  6 F 2.05-2.06
F  0.1772  0.8055  0.2906  1 Bi 2.05
Na  0.4995  0.5005  0.2139  6 F 2.21-2.45
F  0.3098  0.2913  0.5000  1 Bi 2.06
F  0.2687  0.2626  0.0000  1 Li 1.82
F  0.1777  0.8049  0.7095  1 Bi 2.05
Na  0.5005  0.4995  0.7861  6 F 2.21-2.45
F  0.8223  0.1951  0.2905  1 Bi 2.05

---

Record 2
Entry from Alexandria: an optimized crystal structure of BaBe3Ge (GGA-PBE).

Output
* ΔH_f (0 K): 2.273 eV/atom
* relative energy among the computed polymorphs: 1.566 eV per atom
* space group: No. 221
* crystal system: cubic

a = 5.2408 Å, b = 5.2408 Å, c = 5.2408 Å
α = 90.00°, β = 90.00°, γ = 90.00°
With the nearest neighbours (Å) after each atom.
Fractional positions:
Ba  0.0000  0.0000  0.0000  6 Be 2.62
Ge  0.5000  0.5000  0.5000  12 Be 3.71
Be  0.0000  0.0000  0.5000  2 Ba 2.62
Be  0.5000  0.0000  0.0000  2 Ba 2.62
Be  0.0000  0.5000  0.0000  2 Ba 2.62

---

Record 3
Entry from Alexandria: an optimized crystal structure of PrNd3Mg3 (GGA-PBE).

Output
* ΔH_f (0 K): 0.077 eV/atom
* space group: No. 12
* crystal system: monoclinic

a = 6.5593 Å, b = 6.5593 Å, c = 10.9581 Å
α = 91.01°, β = 91.01°, γ = 111.47°
With the nearest neighbours (Å) after each atom.
Fractional positions:
Mg  0.9999  0.9999  0.7586  4 Mg 3.24-3.32, 2 Pr 3.36-3.45, 5 Nd 3.41-3.63
Mg  0.4997  0.9829  0.7499  2 Mg 3.24-3.32, 6 Nd 3.29-3.47
Mg  0.0001  0.0001  0.2414  4 Mg 3.24-3.32, 2 Pr 3.36-3.45, 5 Nd 3.41-3.63
Nd  0.7708  0.2292  0.0000  4 Pr 3.28-3.32, 6 Mg 3.29-3.63
Mg  0.0171  0.5003  0.2501  2 Mg 3.24-3.32, 6 Nd 3.29-3.47
Nd  0.4626  0.4626  0.6630  5 Mg 3.39-3.61, 1 Nd 3.63
Nd  0.8256  0.1744  0.5000  6 Mg 3.35-3.47
Pr  0.7101  0.7101  0.9890  1 Pr 3.12, 4 Nd 3.28-3.32, 2 Mg 3.36-3.45
Mg  0.9829  0.4997  0.7499  2 Mg 3.24-3.32, 6 Nd 3.29-3.47
Mg  0.5003  0.0171  0.2501  2 Mg 3.24-3.32, 6 Nd 3.29-3.47
Nd  0.1744  0.8256  0.5000  6 Mg 3.35-3.47
Nd  0.2292  0.7708  0.0000  4 Pr 3.28-3.32, 6 Mg 3.29-3.63
Pr  0.2899  0.2899  0.0110  1 Pr 3.12, 4 Nd 3.28-3.32, 2 Mg 3.36-3.45
Nd  0.5374  0.5374  0.3370  5 Mg 3.39-3.61, 1 Nd 3.63

---

Record 4
Entry from Alexandria: an optimized crystal structure of SrY2Sb (GGA-PBE).

Output
* energy relative to the elements, uncorrected: -0.4503 eV per atom
* space group: No. 99
* crystal system: tetragonal

a = 4.0802 Å, b = 4.0802 Å, c = 8.0812 Å
α = 90.00°, β = 90.00°, γ = 90.00°
With the nearest neighbours (Å) after each atom.
Fractional positions:
Sr  0.5000  0.5000  0.7164  1 Y 3.49, 4 Sb 3.59
Y  0.5000  0.5000  0.2847  4 Sb 3.18, 4 Y 3.46, 1 Sr 3.49
Sb  0.0000  0.0000  0.4514  5 Y 3.18-3.26
Y  0.0000  0.0000  0.0475  1 Sb 3.26, 4 Y 3.46

---

Record 5
Entry from Alexandria: an optimized crystal structure of NdBe17Ru (GGA-PBE).

Output
* ΔH_f (0 K): -0.050 eV/atom
* space group: No. 160
* crystal system: trigonal

a = 5.7008 Å, b = 5.7008 Å, c = 5.7008 Å
α = 83.19°, β = 83.19°, γ = 83.19°
With the nearest neighbours (Å) after each atom.
Fractional positions:
Be  0.9976  0.5050  0.9976  10 Be 2.13-2.33
Be  0.9090  0.9090  0.9090  4 Be 2.10-2.31
Ru  0.3219  0.3219  0.3219  10 Be 2.44-2.66
Be  0.0100  0.2852  0.7071  8 Be 2.08-2.32
Be  0.3372  0.3372  0.8708  9 Be 2.14-2.31
Be  0.9976  0.9976  0.5050  10 Be 2.13-2.33
Be  0.6499  0.1629  0.6499  9 Be 2.20-2.44
Be  0.1629  0.6499  0.6499  9 Be 2.20-2.44
Be  0.2852  0.7071  0.0100  8 Be 2.08-2.32
Be  0.7071  0.2852  0.0100  8 Be 2.08-2.32
Be  0.0100  0.7071  0.2852  8 Be 2.08-2.32
Nd  0.6562  0.6562  0.6562  19 Be 2.76-2.90
Be  0.7071  0.0100  0.2852  8 Be 2.08-2.32
Be  0.5050  0.9976  0.9976  10 Be 2.13-2.33
Be  0.8708  0.3372  0.3372  9 Be 2.14-2.31
Be  0.2852  0.0100  0.7071  8 Be 2.08-2.32
Be  0.6499  0.6499  0.1629  9 Be 2.20-2.44
Be  0.3372  0.8708  0.3372  9 Be 2.14-2.31
Be  0.1001  0.1001  0.1001  7 Be 2.10-2.33

---

Record 6
Entry from Alexandria: an optimized crystal structure of Ag12Bi3I5 (GGA-PBE).

Output
* energy relative to the elements, uncorrected: 0.0646 eV per atom
* space group: No. 230
* crystal system: cubic

a = 14.6669 Å, b = 14.6669 Å, c = 14.6669 Å
α = 109.47°, β = 109.47°, γ = 109.47°
With the nearest neighbours (Å) after each atom.
Fractional positions:
Ag  0.2607  0.8521  0.9259  1 Ag 2.83, 2 Bi 2.89-3.10, 2 I 2.89-3.00
Ag  0.1652  0.0915  0.7393  1 Ag 2.83, 2 Bi 2.89-3.10, 2 I 2.89-3.00
Bi  0.6250  0.3750  0.7500  8 Ag 2.89-3.10
Ag  0.0915  0.1652  0.2393  1 Ag 2.83, 2 Bi 2.89-3.10, 2 I 2.89-3.00
Ag  0.1479  0.4085  0.0738  1 Ag 2.83, 2 Bi 2.89-3.10, 2 I 2.89-3.00
I  0.5000  0.0000  0.0000  6 Ag 3.00
I  0.0000  0.5000  0.5000  6 Ag 3.00
Ag  0.6479  0.5738  0.9085  1 Ag 2.83, 2 Bi 2.89-3.10, 2 I 2.89-3.00
Bi  0.2500  0.1250  0.3750  8 Ag 2.89-3.10
I  0.1250  0.7500  0.3750  4 Ag 2.89
I  0.8750  0.6250  0.7500  4 Ag 2.89
Ag  0.9262  0.8348  0.5741  1 Ag 2.83, 2 Bi 2.89-3.10, 2 I 2.89-3.00
Ag  0.5738  0.9259  0.6652  1 Ag 2.83, 2 Bi 2.89-3.10, 2 I 2.89-3.00
Ag  0.8521  0.5915  0.9262  1 Ag 2.83, 2 Bi 2.89-3.10, 2 I 2.89-3.00
Ag  0.5738  0.6479  0.4085  1 Ag 2.83, 2 Bi 2.89-3.10, 2 I 2.89-3.00
Ag  0.0738  0.1652  0.4259  1 Ag 2.83, 2 Bi 2.89-3.10, 2 I 2.89-3.00
Ag  0.5915  0.7393  0.6652  1 Ag 2.83, 2 Bi 2.89-3.10, 2 I 2.89-3.00
Bi  0.1250  0.2500  0.8750  8 Ag 2.89-3.10
Bi  0.7500  0.8750  0.6250  8 Ag 2.89-3.10
Bi  0.2500  0.6250  0.8750  8 Ag 2.89-3.10
I  0.1250  0.3750  0.2500  4 Ag 2.89
Bi  0.1250  0.8750  0.7500  8 Ag 2.89-3.10
Ag  0.4085  0.2607  0.3348  1 Ag 2.83, 2 Bi 2.89-3.10, 2 I 2.89-3.00
Ag  0.2607  0.4085  0.8348  1 Ag 2.83, 2 Bi 2.89-3.10, 2 I 2.89-3.00
I  0.0000  0.5000  0.0000  6 Ag 3.00
Bi  0.8750  0.1250  0.2500  8 Ag 2.89-3.10
Ag  0.3348  0.5741  0.4262  1 Ag 2.83, 2 Bi 2.89-3.10, 2 I 2.89-3.00
I  0.3750  0.2500  0.1250  4 Ag 2.89
Ag  0.1652  0.0738  0.9259  1 Ag 2.83, 2 Bi 2.89-3.10, 2 I 2.89-3.00
Ag  0.1479  0.7393  0.5741  1 Ag 2.83, 2 Bi 2.89-3.10, 2 I 2.89-3.00
Ag  0.6479  0.0741  0.2393  1 Ag 2.83, 2 Bi 2.89-3.10, 2 I 2.89-3.00
I  0.3750  0.1250  0.7500  4 Ag 2.89
I  0.0000  0.0000  0.0000  6 Ag 3.00
Ag  0.3348  0.7607  0.4085  1 Ag 2.83, 2 Bi 2.89-3.10, 2 I 2.89-3.00
I  0.8750  0.2500  0.6250  4 Ag 2.89
Bi  0.6250  0.2500  0.3750  8 Ag 2.89-3.10
Ag  0.7393  0.5915  0.1652  1 Ag 2.83, 2 Bi 2.89-3.10, 2 I 2.89-3.00
Bi  0.8750  0.7500  0.1250  8 Ag 2.89-3.10
Ag  0.9085  0.8348  0.7607  1 Ag 2.83, 2 Bi 2.89-3.10, 2 I 2.89-3.00
Ag  0.0741  0.4262  0.8348  1 Ag 2.83, 2 Bi 2.89-3.10, 2 I 2.89-3.00
I  0.7500  0.1250  0.8750  4 Ag 2.89
Ag  0.7393  0.1479  0.0741  1 Ag 2.83, 2 Bi 2.89-3.10, 2 I 2.89-3.00
I  0.2500  0.3750  0.6250  4 Ag 2.89
Ag  0.5915  0.8521  0.4262  1 Ag 2.83, 2 Bi 2.89-3.10, 2 I 2.89-3.00
I  0.6250  0.7500  0.8750  4 Ag 2.89
Ag  0.0915  0.9262  0.3521  1 Ag 2.83, 2 Bi 2.89-3.10, 2 I 2.89-3.00
Bi  0.3750  0.6250  0.2500  8 Ag 2.89-3.10
Ag  0.4259  0.7607  0.8521  1 Ag 2.83, 2 Bi 2.89-3.10, 2 I 2.89-3.00
Ag  0.3521  0.9259  0.7607  1 Ag 2.83, 2 Bi 2.89-3.10, 2 I 2.89-3.00
I  0.5000  0.5000  0.0000  6 Ag 3.00
Bi  0.7500  0.3750  0.1250  8 Ag 2.89-3.10
I  0.5000  0.0000  0.5000  6 Ag 3.00
Ag  0.0741  0.6479  0.7393  1 Ag 2.83, 2 Bi 2.89-3.10, 2 I 2.89-3.00
I  0.2500  0.8750  0.1250  4 Ag 2.89
Ag  0.0738  0.9085  0.1479  1 Ag 2.83, 2 Bi 2.89-3.10, 2 I 2.89-3.00
Ag  0.8348  0.9085  0.2607  1 Ag 2.83, 2 Bi 2.89-3.10, 2 I 2.89-3.00
Ag  0.9262  0.0915  0.8521  1 Ag 2.83, 2 Bi 2.89-3.10, 2 I 2.89-3.00
I  0.5000  0.5000  0.5000  6 Ag 3.00
Ag  0.5741  0.2393  0.1479  1 Ag 2.83, 2 Bi 2.89-3.10, 2 I 2.89-3.00
Ag  0.8348  0.9262  0.0741  1 Ag 2.83, 2 Bi 2.89-3.10, 2 I 2.89-3.00
Ag  0.6652  0.4259  0.5738  1 Ag 2.83, 2 Bi 2.89-3.10, 2 I 2.89-3.00
Ag  0.9259  0.5738  0.1652  1 Ag 2.83, 2 Bi 2.89-3.10, 2 I 2.89-3.00
Bi  0.3750  0.7500  0.6250  8 Ag 2.89-3.10
I  0.6250  0.8750  0.2500  4 Ag 2.89
Ag  0.6652  0.2393  0.5915  1 Ag 2.83, 2 Bi 2.89-3.10, 2 I 2.89-3.00
Ag  0.3521  0.4262  0.0915  1 Ag 2.83, 2 Bi 2.89-3.10, 2 I 2.89-3.00
I  0.0000  0.0000  0.5000  6 Ag 3.00
Ag  0.4085  0.1479  0.5738  1 Ag 2.83, 2 Bi 2.89-3.10, 2 I 2.89-3.00
Ag  0.2393  0.6652  0.0915  1 Ag 2.83, 2 Bi 2.89-3.10, 2 I 2.89-3.00
Ag  0.4262  0.0741  0.3348  1 Ag 2.83, 2 Bi 2.89-3.10, 2 I 2.89-3.00
Ag  0.2393  0.5741  0.6479  1 Ag 2.83, 2 Bi 2.89-3.10, 2 I 2.89-3.00
Ag  0.4262  0.3521  0.5915  1 Ag 2.83, 2 Bi 2.89-3.10, 2 I 2.89-3.00
Ag  0.7607  0.3348  0.9085  1 Ag 2.83, 2 Bi 2.89-3.10, 2 I 2.89-3.00
Ag  0.9085  0.0738  0.6479  1 Ag 2.83, 2 Bi 2.89-3.10, 2 I 2.89-3.00
Ag  0.4259  0.6652  0.0738  1 Ag 2.83, 2 Bi 2.89-3.10, 2 I 2.89-3.00
Ag  0.9259  0.3521  0.2607  1 Ag 2.83, 2 Bi 2.89-3.10, 2 I 2.89-3.00
Ag  0.8521  0.2607  0.4259  1 Ag 2.83, 2 Bi 2.89-3.10, 2 I 2.89-3.00
Ag  0.5741  0.3348  0.9262  1 Ag 2.83, 2 Bi 2.89-3.10, 2 I 2.89-3.00
Ag  0.7607  0.4259  0.3521  1 Ag 2.83, 2 Bi 2.89-3.10, 2 I 2.89-3.00
I  0.7500  0.6250  0.3750  4 Ag 2.89

---

Record 7
Entry from Alexandria: an optimized crystal structure of KCaAlSn2 (GGA-PBE).

Output
* ΔH_f (0 K): 1.026 eV/atom
* space group: No. 123
* crystal system: tetragonal

a = 5.8282 Å, b = 5.7118 Å, c = 5.8282 Å
α = 90.00°, β = 90.00°, γ = 90.00°
With the nearest neighbours (Å) after each atom.
Fractional positions:
Sn  0.0000  0.0000  0.5000  2 K 2.91
Ca  0.0000  0.5000  0.0000  2 K 2.86
K  0.0000  0.0000  0.0000  2 Ca 2.86, 4 Sn 2.91
Sn  0.5000  0.0000  0.0000  2 K 2.91
Al  0.5000  0.5000  0.5000  8 Sn 4.08, 4 Ca 4.12

---

Record 8
Entry from Alexandria: an optimized crystal structure of LiAgHg3 (GGA-PBE).

Output
* ΔH_f (0 K): 0.164 eV/atom
* relative energy among the computed polymorphs: 0.263 eV per atom
* space group: No. 221
* crystal system: cubic

a = 5.4155 Å, b = 5.4155 Å, c = 5.4155 Å
α = 90.00°, β = 90.00°, γ = 90.00°
With the nearest neighbours (Å) after each atom.
Fractional positions:
Ag  0.0000  0.0000  0.0000  6 Hg 2.71
Hg  0.0000  0.0000  0.5000  2 Ag 2.71
Hg  0.5000  0.0000  0.0000  2 Ag 2.71
Li  0.5000  0.5000  0.5000  12 Hg 3.83
Hg  0.0000  0.5000  0.0000  2 Ag 2.71

---

Copy entry 2 word for word.
Entry from Alexandria: an optimized crystal structure of BaBe3Ge (GGA-PBE).

Output
* ΔH_f (0 K): 2.273 eV/atom
* relative energy among the computed polymorphs: 1.566 eV per atom
* space group: No. 221
* crystal system: cubic

a = 5.2408 Å, b = 5.2408 Å, c = 5.2408 Å
α = 90.00°, β = 90.00°, γ = 90.00°
With the nearest neighbours (Å) after each atom.
Fractional positions:
Ba  0.0000  0.0000  0.0000  6 Be 2.62
Ge  0.5000  0.5000  0.5000  12 Be 3.71
Be  0.0000  0.0000  0.5000  2 Ba 2.62
Be  0.5000  0.0000  0.0000  2 Ba 2.62
Be  0.0000  0.5000  0.0000  2 Ba 2.62

---

What did the eighth record say?
Entry from Alexandria: an optimized crystal structure of LiAgHg3 (GGA-PBE).

Output
* ΔH_f (0 K): 0.164 eV/atom
* relative energy among the computed polymorphs: 0.263 eV per atom
* space group: No. 221
* crystal system: cubic

a = 5.4155 Å, b = 5.4155 Å, c = 5.4155 Å
α = 90.00°, β = 90.00°, γ = 90.00°
With the nearest neighbours (Å) after each atom.
Fractional positions:
Ag  0.0000  0.0000  0.0000  6 Hg 2.71
Hg  0.0000  0.0000  0.5000  2 Ag 2.71
Hg  0.5000  0.0000  0.0000  2 Ag 2.71
Li  0.5000  0.5000  0.5000  12 Hg 3.83
Hg  0.0000  0.5000  0.0000  2 Ag 2.71